A plane-wave DFT calculation with PBE was carried out for a geometry-optimized TiRe2Mo structure.

Lattice parameters (Å, degrees): 4.418 4.418 3.128 90.00 90.00 90.00
Fractional coordinates of all 4 atoms:
Ti  0.000  0.000  0.000
Re  0.000  0.500  0.500
Re  0.500  0.000  0.500
Mo  0.500  0.500  0.000

## Properties
Energy of formation from the pure elements in meV/atom: -276
Energy relative to the lowest polymorph listed for this composition in meV/atom: 12.0
E in eV per atom: -11.18


A plane-wave DFT calculation with PBE was carried out for a geometry-optimized TiRe2Mo structure.

Lattice parameters (Å, degrees): 5.839 5.839 5.839 151.38 134.76 54.41
Fractional coordinates of all 4 atoms:
Ti  0.000  0.000  0.000
Re  0.265  0.265  0.000
Re  0.735  0.735  0.000
Mo  0.500  0.500  0.000

## Properties
Energy of formation from the pure elements in meV/atom: 636
Energy relative to the lowest polymorph listed for this composition in meV/atom: 924.7
E in eV per atom: -10.27


A plane-wave DFT calculation with PBE was carried out for a geometry-optimized TiReMo2 structure.

Lattice parameters (Å, degrees): 5.840 5.840 5.840 150.70 135.42 54.24
Fractional coordinates of all 4 atoms:
Ti  0.000  0.000  0.000
Re  0.500  0.500  0.000
Mo  0.262  0.262  0.000
Mo  0.738  0.738  0.000

## Properties
Energy of formation from the pure elements in meV/atom: 589
Energy relative to the lowest polymorph listed for this composition in meV/atom: 810.6
E in eV per atom: -9.91


A plane-wave DFT calculation with PBE was carried out for a geometry-optimized Ti3ReMo3 structure.

Lattice parameters (Å, degrees): 5.409 5.409 8.670 90.00 90.00 111.11
Fractional coordinates of all 14 atoms:
Ti  0.000  0.000  0.212
Ti  0.000  0.000  0.788
Ti  0.244  0.756  0.500
Ti  0.313  0.687  0.000
Ti  0.687  0.313  0.000
Ti  0.756  0.244  0.500
Re  0.239  0.239  0.500
Re  0.761  0.761  0.500
Mo  0.000  0.500  0.242
Mo  0.000  0.500  0.758
Mo  0.500  0.000  0.242
Mo  0.500  0.000  0.758
Mo  0.500  0.500  0.261
Mo  0.500  0.500  0.739

## Properties
Energy of formation from the pure elements in meV/atom: 79
E in eV per atom: -9.72


A plane-wave DFT calculation with PBE was carried out for a geometry-optimized Ti3Re3Mo2 structure.

Lattice parameters (Å, degrees): 9.325 9.325 9.325 160.70 152.73 33.63
Fractional coordinates of all 8 atoms:
Ti  0.000  0.000  0.000
Ti  0.379  0.879  0.500
Ti  0.621  0.121  0.500
Re  0.127  0.627  0.500
Re  0.500  0.500  0.000
Re  0.873  0.373  0.500
Mo  0.247  0.247  0.000
Mo  0.753  0.753  0.000

## Properties
Energy of formation from the pure elements in meV/atom: -363
E in eV per atom: -10.70


A plane-wave DFT calculation with PBE was carried out for a geometry-optimized Ti6Re5Mo structure.

Lattice parameters (Å, degrees): 6.974 6.974 6.250 90.00 90.00 143.07
Fractional coordinates of all 12 atoms:
Ti  0.000  0.000  0.248
Ti  0.000  0.000  0.752
Ti  0.332  0.668  0.248
Ti  0.332  0.668  0.752
Ti  0.668  0.332  0.248
Ti  0.668  0.332  0.752
Re  0.166  0.834  0.500
Re  0.167  0.833  0.000
Re  0.500  0.500  0.000
Re  0.833  0.167  0.000
Re  0.834  0.166  0.500
Mo  0.500  0.500  0.500

## Properties
Energy of formation from the pure elements in meV/atom: -337
E in eV per atom: -10.37